{"formula": "CrS", "functional": "GGA-PBE", "state": "optimized geometry", "cell": [[6.7278, 0.0000, 0.0000], [0.0000, 6.7278, 0.0000], [0.0000, 0.0000, 3.8446]], "species": ["Cr", "Cr", "Cr", "Cr", "S", "S", "S", "S"], "fractional_positions": [[0.1577, 0.1577, 0.0000], [0.3423, 0.6577, 0.5000], [0.6577, 0.3423, 0.5000], [0.8423, 0.8423, 0.0000], [0.1950, 0.8050, 0.0000], [0.3050, 0.3050, 0.5000], [0.6950, 0.6950, 0.5000], [0.8050, 0.1950, 0.0000]], "dos_ef_per_ev_cell": 4.10, "formation_energy_uncorrected_mev_per_atom": -344, "magnetic_moment_mub_per_atom": 2.00}